PaTiN: relaxed, PBE-GGA.

Output
Space group: P3m1, No. 156
Energy above the most stable polymorph in this dataset: 91.7 meV per atom
Raw formation energy: -0.94 eV per atom

Lattice parameters (Å, degrees): 5.632 3.133 3.133 120.00 90.00 90.00
Fractional coordinates of all 3 atoms:
Ti (0.219, 0.333, 0.667)
Pa (0.739, 0.667, 0.333)
N (0.042, 0.000, 0.000)

In2FeP: relaxed, PBE-GGA.

Output
Space group: P4/mmm, No. 123

Lattice parameters (Å, degrees): 3.593 3.592 5.689 90.00 90.00 90.00
Site moments in Bohr magnetons follow the coordinates.
Fractional coordinates of all 4 atoms:
In (0.000, 0.000, 0.997)  -0.06
In (0.000, 0.000, 0.503)  -0.06
Fe (0.500, 0.500, 0.750)  2.42
P (0.500, 0.500, 0.250)  0.05

Number 1: energy -9.51 eV/atom. Number 2: energy -4.42 eV/atom.